First-principles (PBE) data for an optimized crystal structure of Ho2AgSn3Te6, as listed in Alexandria.

Its electronic total energy is -49.9 eV for the cell shown. As for the theoretical density: 6.89 g cm⁻³. Its formation energy from raw total energies is -584 meV per atom. As for the space-group type: No. 12.

a b c (Å): 4.388 8.984 10.063
angles (deg): 103.55 102.59 90.00
Positions (direct):
Ho1 0.833 0.660 0.666
Ho2 0.167 0.340 0.334
Sn1 0.500 0.500 0.000
Sn2 0.160 0.844 0.320
Sn3 0.840 0.156 0.680
Te1 0.331 0.418 0.662
Te2 0.326 0.900 0.651
Te3 0.674 0.100 0.349
Te4 0.992 0.764 0.985
Te5 0.669 0.582 0.338
Te6 0.008 0.236 0.015
Ag1 0.500 0.000 0.000